[1]
This record from OQMD via LeMat-Bulk describes a relaxed structure of NaSrGe4Pd2. The functional is PBE. Values from VASP.

* calculated volume: 20.78 A^3/atom
* E: -4.43 eV per atom
* space-group type: Amm2

Geometry as Quantum ESPRESSO input:
```
&SYSTEM
  ibrav = 0, nat = 8, ntyp = 4
/
ATOMIC_SPECIES
Na 22.99 Na.upf
Ge 72.64 Ge.upf
Sr 87.62 Sr.upf
Pd 106.42 Pd.upf
ATOMIC_POSITIONS crystal
Na 0.000 0.431 0.431
Ge 0.192 0.151 0.151
Ge 0.303 0.852 0.852
Ge 0.808 0.151 0.151
Ge 0.697 0.852 0.852
Sr 0.500 0.565 0.565
Pd 0.000 0.708 0.708
Pd 0.500 0.289 0.289
CELL_PARAMETERS angstrom
-6.648 1.066 -1.631
-1.129 -5.787 0.818
-1.668 -3.546 4.481
```



[2]
This record from OQMD via LeMat-Bulk describes a relaxed structure of Na4TlGePd2. The functional is PBE. Values from VASP.

* calculated volume: 20.15 A^3/atom
* E: -2.96 eV per atom
* space-group type: P-4m2

Geometry as Quantum ESPRESSO input:
```
&SYSTEM
  ibrav = 0, nat = 8, ntyp = 4
/
ATOMIC_SPECIES
Pd 106.42 Pd.upf
Ge 72.64 Ge.upf
Na 22.99 Na.upf
Tl 204.38 Tl.upf
ATOMIC_POSITIONS crystal
Pd 0.500 0.000 0.220
Pd 0.000 0.500 0.780
Ge 0.500 0.500 0.000
Na 0.500 0.000 0.763
Na 0.000 0.000 0.000
Na 0.500 0.500 0.500
Na 0.000 0.500 0.237
Tl 0.000 0.000 0.500
CELL_PARAMETERS angstrom
4.815 0.000 0.000
0.000 4.815 0.000
0.000 0.000 6.955
```



[3]
This record from OQMD via LeMat-Bulk describes a relaxed structure of NaTlGePd. The functional is PBE. Values from VASP.

* calculated volume: 20.56 A^3/atom
* E: -3.33 eV per atom
* space-group type: F-43m

Geometry as Quantum ESPRESSO input:
```
&SYSTEM
  ibrav = 0, nat = 4, ntyp = 4
/
ATOMIC_SPECIES
Ge 72.64 Ge.upf
Na 22.99 Na.upf
Tl 204.38 Tl.upf
Pd 106.42 Pd.upf
ATOMIC_POSITIONS crystal
Ge 0.500 0.500 0.500
Na 0.750 0.750 0.750
Tl 0.250 0.250 0.250
Pd 0.000 0.000 0.000
CELL_PARAMETERS angstrom
3.388 0.374 3.493
-1.306 1.197 4.548
0.215 -3.334 3.558
```



Please write out number 2 again, unchanged.
This record from OQMD via LeMat-Bulk describes a relaxed structure of Na4TlGePd2. The functional is PBE. Values from VASP.

* calculated volume: 20.15 A^3/atom
* E: -2.96 eV per atom
* space-group type: P-4m2

Geometry as Quantum ESPRESSO input:
```
&SYSTEM
  ibrav = 0, nat = 8, ntyp = 4
/
ATOMIC_SPECIES
Pd 106.42 Pd.upf
Ge 72.64 Ge.upf
Na 22.99 Na.upf
Tl 204.38 Tl.upf
ATOMIC_POSITIONS crystal
Pd 0.500 0.000 0.220
Pd 0.000 0.500 0.780
Ge 0.500 0.500 0.000
Na 0.500 0.000 0.763
Na 0.000 0.000 0.000
Na 0.500 0.500 0.500
Na 0.000 0.500 0.237
Tl 0.000 0.000 0.500
CELL_PARAMETERS angstrom
4.815 0.000 0.000
0.000 4.815 0.000
0.000 0.000 6.955
```



Look up the E of the third one.
-3.33 eV per atom



Number 1 is which compound?
NaSrGe4Pd2



The highest calculated volume belongs to which entry?
NaSrGe4Pd2